No. 1
Computed, not measured: a geometry-optimized Ba2Ga6OsRh structure at the PBE level of DFT.

a = 6.889 Å, b = 6.890 Å, c = 6.906 Å
α = 59.89°, β = 59.98°, γ = 89.80°
Fractional positions:
Ba: 0.780 0.221 0.498
Ba: 0.220 0.779 0.502
Ga: 0.250 0.751 0.000
Ga: 0.280 0.279 0.940
Ga: 0.720 0.720 0.499
Ga: 0.750 0.249 0.000
Ga: 0.720 0.721 0.060
Ga: 0.280 0.280 0.501
Rh: 0.000 0.000 0.000
Os: 0.500 0.500 0.000

Values from the calculation:
Formation energy, kJ per mole of atoms: -43
Energy, eV per atom: -4.51
V, A^3/atom: 23.17

No. 2
Computed, not measured: a geometry-optimized Eu2InBi structure at the PBE level of DFT.

a = 4.538 Å, b = 5.278 Å, c = 5.278 Å
α = 90.00°, β = 90.00°, γ = 90.00°
Fractional positions:
Bi: 0.500 0.000 0.000
In: 0.500 0.500 0.500
Eu: 0.000 0.500 0.000
Eu: 0.000 0.000 0.500

Values from the calculation:
Formation energy, kJ per mole of atoms: -62
Energy, eV per atom: -7.43
V, A^3/atom: 31.60
Energy above the most stable polymorph in this dataset, meV/atom: 0

No. 3
Computed, not measured: a geometry-optimized Ba2BeW structure at the PBE level of DFT.

a = 5.005 Å, b = 5.005 Å, c = 7.955 Å
α = 84.83°, β = 84.83°, γ = 36.86°
Fractional positions:
Be: 0.250 0.250 0.250
Ba: 0.997 0.997 0.001
Ba: 0.503 0.503 0.499
W: 0.750 0.750 0.750

Values from the calculation:
Formation energy, kJ per mole of atoms: 151
Energy, eV per atom: -3.57
V, A^3/atom: 29.74

No. 4
Computed, not measured: a geometry-optimized Zr5SiSn3 structure at the PBE level of DFT.

a = 8.686 Å, b = 8.686 Å, c = 5.912 Å
α = 90.00°, β = 90.00°, γ = 120.00°
Fractional positions:
Si: 0.000 0.000 0.000
Si: 0.000 0.000 0.500
Sn: 0.000 0.606 0.750
Sn: 0.606 0.606 0.250
Sn: 0.606 0.000 0.750
Sn: 0.394 0.000 0.250
Sn: 0.000 0.394 0.250
Sn: 0.394 0.394 0.750
Zr: 0.333 0.667 0.000
Zr: 0.000 0.257 0.750
Zr: 0.667 0.333 0.000
Zr: 0.257 0.000 0.750
Zr: 0.743 0.743 0.750
Zr: 0.667 0.333 0.500
Zr: 0.333 0.667 0.500
Zr: 0.257 0.257 0.250
Zr: 0.000 0.743 0.250
Zr: 0.743 0.000 0.250

Values from the calculation:
Energy, eV per atom: -7.40
V, A^3/atom: 21.46

No. 5
Computed, not measured: a geometry-optimized Ta5Re structure at the PBE level of DFT.

a = 3.247 Å, b = 3.247 Å, c = 10.005 Å
α = 90.00°, β = 90.00°, γ = 90.00°
Fractional positions:
Re: 0.500 0.500 0.000
Ta: 0.500 0.500 0.331
Ta: 0.500 0.500 0.669
Ta: 0.000 0.000 0.157
Ta: 0.000 0.000 0.843
Ta: 0.000 0.000 0.500

Values from the calculation:
Formation energy, kJ per mole of atoms: -16
Energy, eV per atom: -12.12
V, A^3/atom: 17.58
Energy above the most stable polymorph in this dataset, meV/atom: 0

No. 6
Computed, not measured: a geometry-optimized KFe2Rh structure at the PBE level of DFT.

a = 2.938 Å, b = 2.938 Å, c = 8.861 Å
α = 90.00°, β = 90.00°, γ = 90.01°
Fractional positions:
Rh: 0.500 0.500 0.750
K: 0.500 0.500 0.250
Fe: 0.000 0.000 0.576
Fe: 0.000 0.000 0.924

Values from the calculation:
Formation energy, kJ per mole of atoms: 64
Energy, eV per atom: -5.68
V, A^3/atom: 19.12
Energy above the most stable polymorph in this dataset, meV/atom: 137

No. 7
Computed, not measured: a geometry-optimized PmZrIn structure at the PBE level of DFT.

a = 3.420 Å, b = 3.398 Å, c = 16.872 Å
α = 100.98°, β = 90.00°, γ = 120.22°
Fractional positions:
Pm: 0.231 0.462 0.103
Pm: 0.769 0.538 0.897
Zr: 0.002 0.005 0.736
Zr: 0.998 0.995 0.264
In: 0.571 0.143 0.587
In: 0.429 0.857 0.413

Values from the calculation:
Formation energy, kJ per mole of atoms: 2
Energy, eV per atom: -5.33
V, A^3/atom: 27.54
Energy above the most stable polymorph in this dataset, meV/atom: 174

No. 8
Computed, not measured: a geometry-optimized Sr2Zn3 structure at the PBE level of DFT.

a = 4.372 Å, b = 4.372 Å, c = 9.137 Å
α = 90.00°, β = 90.00°, γ = 120.00°
Fractional positions:
Zn: 0.000 0.000 0.000
Zn: 0.333 0.667 0.067
Zn: 0.667 0.333 0.933
Sr: 0.667 0.333 0.299
Sr: 0.333 0.667 0.701

Values from the calculation:
Formation energy, kJ per mole of atoms: -16
Energy, eV per atom: -1.61
V, A^3/atom: 30.26

No. 9
Computed, not measured: a geometry-optimized KIrOs2 structure at the PBE level of DFT.

a = 5.986 Å, b = 5.986 Å, c = 5.975 Å
α = 69.72°, β = 69.72°, γ = 25.92°
Fractional positions:
Ir: 0.750 0.750 0.750
Os: 0.047 0.047 0.870
Os: 0.453 0.453 0.630
K: 0.250 0.250 0.250

Values from the calculation:
Formation energy, kJ per mole of atoms: 86
Energy, eV per atom: -7.21
V, A^3/atom: 21.87
Energy above the most stable polymorph in this dataset, meV/atom: 204

No. 10
Computed, not measured: a geometry-optimized MnAg2Cl5 structure at the PBE level of DFT.

a = 6.278 Å, b = 6.644 Å, c = 6.673 Å
α = 81.09°, β = 62.09°, γ = 61.62°
Fractional positions:
Cl: 0.910 0.782 0.317
Cl: 0.991 0.196 0.705
Cl: 0.638 0.313 0.246
Cl: 0.198 0.656 0.775
Cl: 0.375 0.006 0.998
Mn: 0.995 0.982 0.004
Ag: 0.608 0.191 0.650
Ag: 0.730 0.651 0.082

Values from the calculation:
Energy, eV per atom: -3.70
V, A^3/atom: 26.95

No. 11
Computed, not measured: a geometry-optimized DyY2TcN4 structure at the PBE level of DFT.

a = 3.408 Å, b = 6.042 Å, c = 11.633 Å
α = 90.00°, β = 90.00°, γ = 106.38°
Fractional positions:
Dy: 0.133 0.267 0.750
Dy: 0.867 0.733 0.250
N: 0.000 0.000 0.000
N: 0.264 0.528 0.132
N: 0.549 0.098 0.250
N: 0.000 0.000 0.500
N: 0.736 0.472 0.868
N: 0.264 0.528 0.368
N: 0.736 0.472 0.632
N: 0.451 0.902 0.750
Y: 0.368 0.737 0.960
Y: 0.368 0.737 0.540
Y: 0.632 0.263 0.040
Y: 0.632 0.263 0.460
Tc: 0.867 0.734 0.750
Tc: 0.133 0.266 0.250

Values from the calculation:
Energy, eV per atom: -8.72
V, A^3/atom: 14.36

No. 12
Computed, not measured: a geometry-optimized Ca3As2 structure at the PBE level of DFT.

a = 5.445 Å, b = 5.445 Å, c = 5.445 Å
α = 90.00°, β = 90.00°, γ = 90.00°
Fractional positions:
As: 0.500 0.500 0.500
As: 0.000 0.000 0.000
Ca: 0.000 0.500 0.500
Ca: 0.500 0.000 0.500
Ca: 0.500 0.500 0.000

Values from the calculation:
Formation energy, kJ per mole of atoms: -75
Energy, eV per atom: -3.84
V, A^3/atom: 32.29